Below is an optimized crystal structure of InAs2Rh, with properties calculated at the PBE-GGA level.

Values from the calculation:
The calculation puts the total magnetic moment at 0.000 μB per formula unit. Its volume is 18.4 A^3/atom. The formation energy comes out at 0.127 eV/atom.

```
InAs2Rh
1.0
4.5847 0.0000 0.0000
0.0000 3.2708 0.0000
-1.2816 0.0000 4.9193
In As Rh
1 2 1
direct
0.0000 0.0000 0.0000
0.0000 0.5000 0.5000
0.5000 0.0000 0.5000
0.5000 0.5000 0.0000
```

Below is an optimized crystal structure of InAsRh2, with properties calculated at the PBE-GGA level.

Values from the calculation:
The calculation puts the total magnetic moment at 0.000 μB per formula unit. Its volume is 16.1 A^3/atom. The formation energy comes out at -0.297 eV/atom.

```
InAsRh2
1.0
3.0653 0.0000 0.0000
0.0000 3.0583 0.0000
-0.0197 0.0000 6.8760
In As Rh
1 1 2
direct
0.0000 0.0000 0.0000
0.0000 0.0000 0.5000
0.4986 0.5000 0.2807
0.5014 0.5000 0.7193
```

Below is an optimized crystal structure of InAs2Rh, with properties calculated at the PBE-GGA level.

Values from the calculation:
The calculation puts the total magnetic moment at 0.000 μB per formula unit. Its volume is 19.3 A^3/atom. The formation energy comes out at 0.082 eV/atom.

```
InAs2Rh
1.0
-1.9038 2.2821 4.4445
1.9038 -2.2821 4.4445
1.9038 2.2821 -4.4445
In As Rh
1 2 1
direct
0.0000 0.0000 0.0000
0.4315 0.4315 0.0000
0.7336 0.2336 0.5000
0.2530 0.7530 0.5000
```